1.
Density functional theory data (PBE) for a geometry-optimized CaSm2B9 structure.

## Properties
* DFT formation energy: -0.028 eV per atom
* DFT total energy: -71.87 eV/f.u.
* mass density: 4.358 g cm⁻³
* DOS(E_F): 7.55 states/eV/cell
* spin magnetization: 0.00 μB per cell

Unit cell a=4.4837 b=4.4837 c=9.9309 alpha=76.95 beta=76.95 gamma=60.00
Last column: nearest neighbours and their distance in Å.
Element x y z (fractional)
1 Ca 0.0000 0.0000 0.0000  12 B 2.94
2 Sm 0.8832 0.8832 0.3504  12 B 2.72-2.96
3 Sm 0.1168 0.1168 0.6496  12 B 2.72-2.96
4 B 0.5946 0.5946 0.2163  3 B 1.66
5 B 0.4054 0.4054 0.7837  3 B 1.66
6 B 0.5000 0.5000 0.5000  2 B 2.72, 6 Sm 2.96
7 B 0.3896 0.3896 0.1941  3 B 1.63-1.66
8 B 0.0267 0.3896 0.1941  3 B 1.63-1.66
9 B 0.3896 0.0267 0.1941  3 B 1.63-1.66
10 B 0.6104 0.6104 0.8059  3 B 1.63-1.66
11 B 0.6104 0.9733 0.8059  3 B 1.63-1.66
12 B 0.9733 0.6104 0.8059  3 B 1.63-1.66

2.
Density functional theory data (PBE) for a geometry-optimized CaSn3B structure.

## Properties
* DFT formation energy: 1.596 eV per atom
* DFT total energy: -12.71 eV/f.u.
* mass density: 3.540 g cm⁻³
* DOS(E_F): 5.73 states/eV/cell
* spin magnetization: 0.00 μB per cell

Unit cell a=5.7582 b=5.7582 c=5.7582 alpha=90.00 beta=90.00 gamma=90.00
Last column: nearest neighbours and their distance in Å.
Element x y z (fractional)
1 Ca 0.0000 0.0000 0.0000  6 Sn 2.88
2 B 0.5000 0.5000 0.5000  12 Sn 4.07
3 Sn 0.0000 0.5000 0.0000  2 Ca 2.88
4 Sn 0.0000 0.0000 0.5000  2 Ca 2.88
5 Sn 0.5000 0.0000 0.0000  2 Ca 2.88

3.
Density functional theory data (PBE) for a geometry-optimized CaSn2B structure.

## Properties
* DFT formation energy: 0.085 eV per atom
* DFT total energy: -16.35 eV/f.u.
* mass density: 5.382 g cm⁻³
* DOS(E_F): 3.65 states/eV/cell
* spin magnetization: 0.00 μB per cell

Unit cell a=7.7503 b=7.7503 c=6.2293 alpha=51.53 beta=51.53 gamma=90.00
Last column: nearest neighbours and their distance in Å.
Element x y z (fractional)
1 Ca 0.0000 0.0000 0.0000  2 B 2.96, 4 Sn 3.21
2 Ca 0.7500 0.2500 0.5000  2 B 2.96, 4 Sn 3.21
3 B 0.5000 0.5000 0.0000  4 Sn 2.43
4 B 0.2500 0.7500 0.5000  4 Sn 2.43
5 Sn 0.5378 0.1250 0.2500  2 B 2.43
6 Sn 0.2122 0.6250 0.2500  2 B 2.43
7 Sn 0.3750 0.4622 0.7500  2 B 2.43
8 Sn 0.8750 0.7878 0.7500  2 B 2.43

4.
Density functional theory data (PBE) for a geometry-optimized CaSnB12 structure.

## Properties
* DFT formation energy: -0.115 eV per atom
* DFT total energy: -87.74 eV/f.u.
* mass density: 3.285 g cm⁻³
* DOS(E_F): 0.16 states/eV/cell
* spin magnetization: 0.00 μB per cell

Unit cell a=5.9082 b=5.9082 c=5.9082 alpha=60.00 beta=60.00 gamma=60.00
Last column: nearest neighbours and their distance in Å.
Element x y z (fractional)
1 Ca 0.5000 0.5000 0.5000  24 B 3.07
2 Sn 0.0000 0.0000 0.0000  24 B 3.07
3 B 0.8989 0.8989 0.6011  5 B 1.69-1.76
4 B 0.3989 0.3989 0.1011  5 B 1.69-1.76
5 B 0.6011 0.8989 0.6011  5 B 1.69-1.76
6 B 0.1011 0.3989 0.1011  5 B 1.69-1.76
7 B 0.8989 0.6011 0.6011  5 B 1.69-1.76
8 B 0.3989 0.1011 0.1011  5 B 1.69-1.76
9 B 0.8989 0.6011 0.8989  5 B 1.69-1.76
10 B 0.3989 0.1011 0.3989  5 B 1.69-1.76
11 B 0.6011 0.8989 0.8989  5 B 1.69-1.76
12 B 0.1011 0.3989 0.3989  5 B 1.69-1.76
13 B 0.6011 0.6011 0.8989  5 B 1.69-1.76
14 B 0.1011 0.1011 0.3989  5 B 1.69-1.76

5.
Density functional theory data (PBE) for a geometry-optimized CaSnB2 structure.

## Properties
* DFT formation energy: 0.763 eV per atom
* DFT total energy: -16.31 eV/f.u.
* mass density: 3.978 g cm⁻³
* DOS(E_F): 3.66 states/eV/cell
* spin magnetization: 0.00 μB per cell

Unit cell a=4.3327 b=4.3327 c=8.5875 alpha=75.39 beta=75.39 gamma=90.00
Last column: nearest neighbours and their distance in Å.
Element x y z (fractional)
1 Ca 0.5000 0.5000 0.0000  4 Sn 3.06, 8 B 3.14-3.15
2 Ca 0.2500 0.7500 0.5000  4 Sn 3.06, 8 B 3.14-3.15
3 B 0.8751 0.1250 0.2500  2 B 2.17, 2 Sn 2.28
4 B 0.8749 0.6250 0.2500  2 B 2.17, 2 Sn 2.28
5 B 0.3750 0.1249 0.7500  2 B 2.17, 2 Sn 2.28
6 B 0.8750 0.1251 0.7500  2 B 2.17, 2 Sn 2.28
7 Sn 0.0000 0.0000 0.0000  4 B 2.28
8 Sn 0.7500 0.2500 0.5000  4 B 2.28

6.
Density functional theory data (PBE) for a geometry-optimized CaSn3B structure.

## Properties
* DFT formation energy: 0.284 eV per atom
* DFT total energy: -19.27 eV/f.u.
* mass density: 5.439 g cm⁻³
* DOS(E_F): 2.18 states/eV/cell
* spin magnetization: 0.00 μB per cell

Unit cell a=4.9901 b=4.9901 c=4.9901 alpha=90.00 beta=90.00 gamma=90.00
Last column: nearest neighbours and their distance in Å.
Element x y z (fractional)
1 Ca 0.5000 0.5000 0.5000  12 Sn 3.53
2 B 0.0000 0.0000 0.0000  6 Sn 2.50
3 Sn 0.0000 0.5000 0.0000  2 B 2.50
4 Sn 0.0000 0.0000 0.5000  2 B 2.50
5 Sn 0.5000 0.0000 0.0000  2 B 2.50

7.
Density functional theory data (PBE) for a geometry-optimized SrCa3B structure.

## Properties
* DFT formation energy: 1.904 eV per atom
* DFT total energy: -4.84 eV/f.u.
* mass density: 1.423 g cm⁻³
* DOS(E_F): 6.97 states/eV/cell
* spin magnetization: 2.92 μB per cell

Unit cell a=6.3429 b=6.3429 c=6.3429 alpha=90.00 beta=90.00 gamma=90.00
Last column: nearest neighbours and their distance in Å.
Element x y z (fractional)
1 Sr 0.0000 0.0000 0.0000  6 Ca 3.17
2 Ca 0.0000 0.5000 0.0000  2 Sr 3.17
3 Ca 0.0000 0.0000 0.5000  2 Sr 3.17
4 Ca 0.5000 0.0000 0.0000  2 Sr 3.17
5 B 0.5000 0.5000 0.5000  12 Ca 4.49

8.
Density functional theory data (PBE) for a geometry-optimized Sr2CaB structure.

## Properties
* DFT formation energy: 0.486 eV per atom
* DFT total energy: -10.10 eV/f.u.
* mass density: 2.459 g cm⁻³
* DOS(E_F): 9.65 states/eV/cell
* spin magnetization: 0.00 μB per cell

Unit cell a=10.6099 b=10.6099 c=7.9778 alpha=48.32 beta=48.32 gamma=90.00
Last column: nearest neighbours and their distance in Å.
Element x y z (fractional)
1 Sr 0.4731 0.1250 0.2500  2 B 2.93
2 Sr 0.2769 0.6250 0.2500  2 B 2.93
3 Sr 0.3750 0.5269 0.7500  2 B 2.93
4 Sr 0.8750 0.7231 0.7500  2 B 2.93
5 Ca 0.0000 0.0000 0.0000  2 B 2.71
6 Ca 0.7500 0.2500 0.5000  2 B 2.71
7 B 0.5000 0.5000 0.0000  2 Ca 2.71, 4 Sr 2.93
8 B 0.2500 0.7500 0.5000  2 Ca 2.71, 4 Sr 2.93

9.
Density functional theory data (PBE) for a geometry-optimized SrCaB12 structure.

## Properties
* DFT formation energy: -0.430 eV per atom
* DFT total energy: -89.83 eV/f.u.
* mass density: 2.940 g cm⁻³
* DOS(E_F): 1.15 states/eV/cell
* spin magnetization: 0.00 μB per cell

Unit cell a=5.9026 b=5.9026 c=5.9026 alpha=60.00 beta=60.00 gamma=60.00
Last column: nearest neighbours and their distance in Å.
Element x y z (fractional)
1 Sr 0.0000 0.0000 0.0000  24 B 3.07
2 Ca 0.5000 0.5000 0.5000  24 B 3.07
3 B 0.8989 0.8989 0.6011  5 B 1.69-1.76
4 B 0.3989 0.3989 0.1011  5 B 1.69-1.76
5 B 0.6011 0.8989 0.6011  5 B 1.69-1.76
6 B 0.1011 0.3989 0.1011  5 B 1.69-1.76
7 B 0.8989 0.6011 0.6011  5 B 1.69-1.76
8 B 0.3989 0.1011 0.1011  5 B 1.69-1.76
9 B 0.8989 0.6011 0.8989  5 B 1.69-1.76
10 B 0.3989 0.1011 0.3989  5 B 1.69-1.76
11 B 0.6011 0.8989 0.8989  5 B 1.69-1.76
12 B 0.1011 0.3989 0.3989  5 B 1.69-1.76
13 B 0.6011 0.6011 0.8989  5 B 1.69-1.76
14 B 0.1011 0.1011 0.3989  5 B 1.69-1.76

10.
Density functional theory data (PBE) for a geometry-optimized SrCaB2 structure.

## Properties
* DFT formation energy: 1.226 eV per atom
* DFT total energy: -12.14 eV/f.u.
* mass density: 2.598 g cm⁻³
* DOS(E_F): 6.73 states/eV/cell
* spin magnetization: 0.12 μB per cell

Unit cell a=7.3668 b=7.3668 c=6.2854 alpha=54.13 beta=54.13 gamma=90.00
Last column: nearest neighbours and their distance in Å.
Element x y z (fractional)
1 Sr 0.0000 0.0000 0.0000  4 B 2.87
2 Sr 0.7500 0.2500 0.5000  4 B 2.87
3 Ca 0.5000 0.5000 0.0000  4 B 2.64
4 Ca 0.2500 0.7500 0.5000  4 B 2.64
5 B 0.6014 0.1250 0.2500  2 Ca 2.64, 2 Sr 2.87
6 B 0.1486 0.6250 0.2500  2 Ca 2.64, 2 Sr 2.87
7 B 0.3750 0.3986 0.7500  2 Ca 2.64, 2 Sr 2.87
8 B 0.8750 0.8514 0.7500  2 Ca 2.64, 2 Sr 2.87

11.
Density functional theory data (PBE) for a geometry-optimized SrCaB2 structure.

## Properties
* DFT formation energy: 0.850 eV per atom
* DFT total energy: -13.64 eV/f.u.
* mass density: 3.169 g cm⁻³
* DOS(E_F): 1.49 states/eV/cell
* spin magnetization: 0.00 μB per cell

Unit cell a=4.8011 b=4.8011 c=4.8011 alpha=60.00 beta=60.00 gamma=60.00
Last column: nearest neighbours and their distance in Å.
Element x y z (fractional)
1 Sr 0.5000 0.5000 0.5000  8 B 2.94
2 Ca 0.0000 0.0000 0.0000  8 B 2.94
3 B 0.2500 0.2500 0.2500  4 Ca 2.94, 4 Sr 2.94
4 B 0.7500 0.7500 0.7500  4 Sr 2.94, 4 Ca 2.94

12.
Density functional theory data (PBE) for a geometry-optimized SrCa3B structure.

## Properties
* DFT formation energy: 0.243 eV per atom
* DFT total energy: -13.15 eV/f.u.
* mass density: 2.113 g cm⁻³
* DOS(E_F): 4.75 states/eV/cell
* spin magnetization: 0.00 μB per cell

Unit cell a=5.5600 b=5.5600 c=5.5600 alpha=90.00 beta=90.00 gamma=90.00
Last column: nearest neighbours and their distance in Å.
Element x y z (fractional)
1 Sr 0.5000 0.5000 0.5000  12 Ca 3.93
2 Ca 0.0000 0.5000 0.0000  2 B 2.78
3 Ca 0.0000 0.0000 0.5000  2 B 2.78
4 Ca 0.5000 0.0000 0.0000  2 B 2.78
5 B 0.0000 0.0000 0.0000  6 Ca 2.78